Computed, not measured: a relaxed structure of PmCuSi at the PBE level of DFT.

Properties
E_form (uncorrected) ... -0.6070 eV per atom
SG ... P-6m2

Cell: 4.102 4.102 4.158 Å, 90.00 90.00 120.00°
Atoms (fractional coordinates):
Pm  0.000  0.000  0.000
Cu  0.333  0.667  0.500
Si  0.667  0.333  0.500

Computed, not measured: a relaxed structure of ErTm2Os at the PBE level of DFT.

Properties
Formation energy from the elements ... -0.308 eV per atom
SG ... Pnma

Cell: 7.358 8.895 6.228 Å, 90.00 90.00 90.00°
Atoms (fractional coordinates):
Er  0.038  0.250  0.126
Er  0.462  0.750  0.626
Er  0.538  0.250  0.374
Er  0.962  0.750  0.874
Tm  0.174  0.062  0.666
Tm  0.174  0.438  0.666
Tm  0.326  0.562  0.166
Tm  0.326  0.938  0.166
Tm  0.674  0.062  0.834
Tm  0.674  0.438  0.834
Tm  0.826  0.562  0.334
Tm  0.826  0.938  0.334
Os  0.118  0.750  0.460
Os  0.382  0.250  0.960
Os  0.618  0.750  0.040
Os  0.882  0.250  0.540

Computed, not measured: a relaxed structure of CsCr3As at the PBE level of DFT.

Properties
Formation energy from the elements ... 0.925 eV per atom
SG ... Pm-3m

Cell: 5.197 5.197 5.197 Å, 90.00 90.00 90.00°
Atoms (fractional coordinates):
Cs  0.000  0.000  0.000
Cr  0.000  0.500  0.500
Cr  0.500  0.000  0.500
Cr  0.500  0.500  0.000
As  0.500  0.500  0.500

Computed, not measured: a relaxed structure of Zn2CuCl at the PBE level of DFT.

Properties
E_form (uncorrected) ... 0.0444 eV per atom
SG ... Imm2

Cell: 3.017 5.698 8.381 Å, 90.00 90.00 90.00°
Atoms (fractional coordinates):
Zn  0.000  0.000  0.000
Zn  0.000  0.500  0.244
Zn  0.500  0.000  0.744
Zn  0.500  0.500  0.500
Cu  0.000  0.500  0.736
Cu  0.500  0.000  0.236
Cl  0.000  0.000  0.468
Cl  0.500  0.500  0.968

| no. | VASP energy (eV/f.u.) |
| --- | --- |
| 1 | -16.09 |
| 2 | -25.97 |
| 3 | -29.75 |
| 4 | -8.31 |